First-principles (PBE) data for a relaxed KLiSeF6 crystal, as listed in Alexandria.

Lattice parameters (Å, degrees): 5.7443 5.3917 5.3917 120.00 90.00 90.00
Positions (direct):
1 F 0.3066 0.7177 0.0350
2 F 0.6934 0.3173 0.0350
3 F 0.3066 0.9650 0.6827
4 F 0.6934 0.7177 0.6827
5 F 0.3066 0.3173 0.2823
6 F 0.6934 0.9650 0.2823
7 K 0.0000 0.3333 0.6667
8 Se 0.5000 0.0000 0.0000
9 Li 0.5000 0.6667 0.3333

**Energy relative to the elements, uncorrected**: -2.29 eV per atom
**DFT total energy**: -4.25 eV/atom
**Space-group type**: P312, No. 149
**V**: 144.6 Å³ per cell
**M_tot**: 0.00 μB per formula unit